# BC (PBE, relaxed)
# E_form   0.375 eV/atom
data_BC
_chemical_formula_sum 'B6 C6'
_symmetry_space_group_name_H-M 'P 3 m 1'
_symmetry_Int_Tables_number 156
_cell_length_a 2.6422
_cell_length_b 2.6422
_cell_length_c 14.8817
_cell_angle_alpha 90.00
_cell_angle_beta 90.00
_cell_angle_gamma 120.00
loop_
_symmetry_equiv_pos_as_xyz
'x,y,z'
'-y,x-y,z'
'-x+y,-x,z'
'-y,-x,z'
'-x+y,y,z'
'x,x-y,z'
loop_
_atom_site_label
_atom_site_fract_x
_atom_site_fract_y
_atom_site_fract_z
_atom_site_occupancy
B1 0.0000 0.0000 0.0000 1
B2 0.0000 0.0000 0.1136 1
B3 0.0000 0.0000 0.4507 1
B4 0.0000 0.0000 0.6883 1
B5 0.3333 0.6667 0.1849 1
B6 0.3333 0.6667 0.8090 1
C1 0.3333 0.6667 0.2912 1
C2 0.3333 0.6667 0.6984 1
C3 0.6667 0.3333 0.3258 1
C4 0.6667 0.3333 0.4365 1
C5 0.6667 0.3333 0.8563 1
C6 0.6667 0.3333 0.9505 1